Record 1
This record from the Alexandria database describes a geometry-optimized Cd2InCu structure. The functional is GGA-PBEsol.

a = 2.8539 Å, b = 4.5117 Å, c = 12.5226 Å
α = 90.00°, β = 90.00°, γ = 90.00°
Closest atoms and distances in Å follow each position.
Space group Imm2 (No. 44)
One atom of each set of equivalent atoms:
Cd  0.0000  0.0000  0.0000 x2  4 Cu 2.67, 2 Cd 2.85
Cd  0.0000  0.5000  0.1804 x2  2 Cu 2.75, 2 Cd 2.85
In  0.0000  0.5000  0.8068 x2  2 Cu 2.73, 2 In 2.85
Cu  0.0000  0.0000  0.4929 x2  6 Cd 2.67-2.75, 2 In 2.73, 2 Cu 2.85

Crystal system: orthorhombic
DOS at the Fermi energy, states/eV/f.u.: 1.4
DFT formation energy, meV/atom: 47.6
Theoretical density, g cm⁻³: 8.30


Record 2
This record from the Alexandria database describes a geometry-optimized Cd2InCu structure. The functional is GGA-PBEsol.

a = 5.5602 Å, b = 7.6193 Å, c = 3.6836 Å
α = 90.00°, β = 90.00°, γ = 90.00°
Closest atoms and distances in Å follow each position.
Space group Cmmm (No. 65)
One atom of each set of equivalent atoms:
Cd  0.2500  0.2500  0.0000 x4  2 Cd 2.78, 4 In 2.99, 4 Cu 2.99
In  0.0000  0.0000  0.5000 x2  2 Cu 2.78, 8 Cd 2.99
Cu  0.0000  0.5000  0.5000 x2  2 In 2.78, 8 Cd 2.99

Crystal system: orthorhombic
DOS at the Fermi energy, states/eV/f.u.: 1.2
DFT formation energy, meV/atom: 140.4
Theoretical density, g cm⁻³: 8.58


Record 3
This record from the Alexandria database describes a geometry-optimized Cd2CuIr structure. The functional is GGA-PBEsol.

a = 2.9957 Å, b = 2.9957 Å, c = 7.0335 Å
α = 90.00°, β = 90.00°, γ = 90.00°
Closest atoms and distances in Å follow each position.
Space group P4/mmm (No. 123)
One atom of each set of equivalent atoms:
Cd  0.0000  0.0000  0.2428 x2  4 Cu 2.72, 4 Ir 2.79, 4 Cd 3.00
Cu  0.5000  0.5000  0.0000 x1  8 Cd 2.72, 4 Cu 3.00
Ir  0.5000  0.5000  0.5000 x1  8 Cd 2.79, 4 Ir 3.00

Crystal system: tetragonal
DOS at the Fermi energy, states/eV/f.u.: 1.9
DFT formation energy, meV/atom: 167.9
Theoretical density, g cm⁻³: 12.64


Record 4
This record from the Alexandria database describes a geometry-optimized Cd2CuIr structure. The functional is GGA-PBEsol.

a = 6.3281 Å, b = 6.3281 Å, c = 6.3281 Å
α = 90.00°, β = 90.00°, γ = 90.00°
Closest atoms and distances in Å follow each position.
Space group F-43m (No. 216)
One atom of each set of equivalent atoms:
Cd  0.0000  0.0000  0.0000 x4  4 Cd 2.74, 4 Cu 2.74
Cd  0.2500  0.2500  0.2500 x4  4 Cd 2.74, 4 Ir 2.74
Cu  0.2500  0.2500  0.7500 x4  4 Cd 2.74, 4 Ir 2.74
Ir  0.0000  0.0000  0.5000 x4  4 Cd 2.74, 4 Cu 2.74

Crystal system: cubic
DOS at the Fermi energy, states/eV/f.u.: 1.5
DFT formation energy, meV/atom: 201.6
Theoretical density, g cm⁻³: 12.60